(P)
This record from the Alexandria database describes a PBEsol-optimized structure of TaCuSb2. The functional is meta-GGA SCAN.

* density: 10.8 g/cm3

Unit cell a=4.6456 b=4.6456 c=3.4689 alpha=90.00 beta=90.00 gamma=90.00
Last column: nearest neighbours and their distance in Å.
Space group P4/mmm (No. 123)
Unique sites:
Ta 0.0000 0.0000 0.0000 (multiplicity 1)  8 Sb 2.90
Cu 0.5000 0.5000 0.0000 (multiplicity 1)  8 Sb 2.90
Sb 0.0000 0.5000 0.5000 (multiplicity 2)  4 Ta 2.90, 4 Cu 2.90


(Q)
This record from the Alexandria database describes a PBEsol-optimized structure of TaCuSb2. The functional is meta-GGA SCAN.

* density: 10.5 g/cm3

Unit cell a=6.7590 b=6.7590 c=6.7590 alpha=90.00 beta=90.00 gamma=90.00
Last column: nearest neighbours and their distance in Å.
Space group Fm-3m (No. 225)
Unique sites:
Ta 0.0000 0.0000 0.0000 (multiplicity 4)  8 Sb 2.93
Cu 0.0000 0.0000 0.5000 (multiplicity 4)  8 Sb 2.93
Sb 0.2500 0.2500 0.2500 (multiplicity 8)  4 Ta 2.93, 4 Cu 2.93


Quick ranking, most stable first: (P), (Q).


(P)
This record from the Alexandria database describes a PBEsol-optimized structure of Tl2CuSb. The functional is meta-GGA SCAN.

* density: 10.5 g/cm3

Unit cell a=3.4274 b=3.4274 c=27.5831 alpha=90.00 beta=90.00 gamma=120.00
Last column: nearest neighbours and their distance in Å.
Space group R-3m (No. 166, hexagonal axes)
Unique sites:
Tl 0.0000 0.0000 0.2361 (multiplicity 6)  3 Cu 2.75
Cu 0.0000 0.0000 0.5000 (multiplicity 3)  6 Tl 2.75
Sb 0.0000 0.0000 0.0000 (multiplicity 3)  6 Tl 3.33, 6 Sb 3.43


(Q)
This record from the Alexandria database describes a PBEsol-optimized structure of Tl2CuSb. The functional is meta-GGA SCAN.

* density: 10.1 g/cm3

Unit cell a=5.8725 b=10.5520 c=3.1559 alpha=90.00 beta=90.00 gamma=90.00
Last column: nearest neighbours and their distance in Å.
Space group Cmmm (No. 65)
Unique sites:
Tl 0.2500 0.2500 0.0000 (multiplicity 4)  4 Tl 2.94-3.16
Cu 0.0000 0.0000 0.5000 (multiplicity 2)  2 Sb 2.94, 2 Cu 3.16
Sb 0.0000 0.5000 0.5000 (multiplicity 2)  2 Cu 2.94, 2 Sb 3.16


Quick ranking, most stable first: (P), (Q).